This record from Alexandria describes BiP2O2 after structural relaxation. The functional is PBE-GGA.

The mass density comes out at 6.3 g cm⁻³. The energy relative to the lowest polymorph listed for this composition comes out at 522 meV/atom. For the formation energy (no corrections), the calculation gives 0.1705 eV per atom.

The structure belongs to space group P4/mmm (No. 123); the cell edges are 3.721, 3.721 and 5.724 Å and the angles 90.00°, 90.00° and 90.00°. Symmetry generates all atoms from Bi at (0.000, 0.000, 0.000), P at (0.000, 0.500, 0.500), O at (0.500, 0.500, 0.000) and O at (0.500, 0.500, 0.500).